1.
The following is a DFT calculation (GGA-PBE) of TaB2Au after structural relaxation.

SG = I-42d (122)
spin magnetization = 0.00 Bohr magnetons per cell
excess energy over the best structure of this formula in the dataset = 0.064 eV per atom
ΔH_f (0 K) = 0.83 eV/atom
E_tot = -0.2311 Ha/atom

Structure (POSCAR):
```
TaB2Au
1.0
4.149 0.000 0.000
0.000 4.149 0.000
2.075 2.075 6.722
B Au Ta
4 2 2
direct
0.664 0.125 0.250
0.086 0.625 0.250
0.375 0.336 0.750
0.875 0.914 0.750
0.000 0.000 0.000
0.750 0.250 0.500
0.500 0.500 0.000
0.250 0.750 0.500
```

---

2.
The following is a DFT calculation (GGA-PBE) of TaB3Au after structural relaxation.

SG = Pm-3m (221)
spin magnetization = 0.00 Bohr magnetons per cell
excess energy over the best structure of this formula in the dataset = 0.000 eV per atom
ΔH_f (0 K) = 1.64 eV/atom
E_tot = -0.1981 Ha/atom

Structure (POSCAR):
```
TaB3Au
1.0
-1.733 -0.629 3.877
0.513 -4.238 -0.459
3.895 0.278 1.785
B Au Ta
3 1 1
direct
0.000 0.500 0.000
0.000 0.000 0.500
0.500 0.000 0.000
0.500 0.500 0.500
0.000 0.000 0.000
```